(1)
A relaxed structure of ZnCdAg2, computed with PBEsol.

a = 3.274 Å, b = 3.274 Å, c = 6.241 Å
α = 90.00°, β = 90.00°, γ = 90.00°
Positions (direct):
Zn: 0.000 0.000 0.000
Cd: 0.500 0.500 0.733
Ag: 0.000 0.000 0.469
Ag: 0.500 0.500 0.212

Energy = -9.485 eV for the cell shown
ΔE_f = -21 meV per atom
Magnetic moment = 0.0 μB per formula unit


(2)
A relaxed structure of Zn2CdAg, computed with PBEsol.

a = 3.226 Å, b = 3.568 Å, c = 5.675 Å
α = 90.00°, β = 90.00°, γ = 90.00°
Positions (direct):
Zn: 0.000 0.000 0.000
Zn: 0.500 0.500 0.232
Cd: 0.500 0.500 0.741
Ag: 0.000 0.000 0.467

Energy = -7.660 eV for the cell shown
ΔE_f = 3 meV per atom
Magnetic moment = 0.0 μB per formula unit


(3)
A relaxed structure of ZnCdAg2, computed with PBEsol.

a = 9.479 Å, b = 9.479 Å, c = 9.479 Å
α = 17.54°, β = 17.54°, γ = 17.54°
Positions (direct):
Zn: 0.000 0.000 0.000
Cd: 0.247 0.247 0.247
Ag: 0.493 0.493 0.493
Ag: 0.743 0.743 0.743

Energy = -9.360 eV for the cell shown
ΔE_f = 10 meV per atom
Magnetic moment = 0.0 μB per formula unit


(4)
A relaxed structure of ZnCdAg2, computed with PBEsol.

a = 5.048 Å, b = 5.048 Å, c = 5.048 Å
α = 133.46°, β = 133.46°, γ = 67.93°
Positions (direct):
Zn: 0.000 0.000 0.000
Cd: 0.250 0.750 0.500
Ag: 0.500 0.500 0.000
Ag: 0.750 0.250 0.500

Energy = -9.584 eV for the cell shown
ΔE_f = -46 meV per atom
Magnetic moment = 0.0 μB per formula unit


(5)
A relaxed structure of ZnCdAg2, computed with PBEsol.

a = 2.887 Å, b = 4.166 Å, c = 5.632 Å
α = 90.00°, β = 98.53°, γ = 90.00°
Positions (direct):
Zn: 0.000 0.000 0.000
Cd: 0.568 0.500 0.727
Ag: 0.015 0.000 0.480
Ag: 0.472 0.500 0.217

Energy = -9.488 eV for the cell shown
ΔE_f = -22 meV per atom
Magnetic moment = 0.0 μB per formula unit


(6)
A relaxed structure of ZnCdAg2, computed with PBEsol.

a = 9.264 Å, b = 9.264 Å, c = 9.264 Å
α = 18.08°, β = 18.08°, γ = 18.08°
Positions (direct):
Zn: 0.000 0.000 0.000
Cd: 0.500 0.500 0.500
Ag: 0.255 0.255 0.255
Ag: 0.745 0.745 0.745

Energy = -9.561 eV for the cell shown
ΔE_f = -40 meV per atom
Magnetic moment = 0.0 μB per formula unit


(7)
A relaxed structure of ZnCdAg2, computed with PBEsol.

a = 4.928 Å, b = 4.928 Å, c = 4.928 Å
α = 131.09°, β = 131.09°, γ = 71.67°
Positions (direct):
Zn: 0.000 0.000 0.000
Cd: 0.500 0.500 0.000
Ag: 0.250 0.750 0.500
Ag: 0.750 0.250 0.500

Energy = -9.558 eV for the cell shown
ΔE_f = -39 meV per atom
Magnetic moment = 0.0 μB per formula unit


(8)
A relaxed structure of ZnCdAg, computed with PBEsol.

a = 7.232 Å, b = 7.008 Å, c = 2.852 Å
α = 82.89°, β = 74.07°, γ = 23.04°
Positions (direct):
Zn: 0.000 0.000 0.000
Cd: 0.330 0.330 0.670
Ag: 0.654 0.654 0.346

Energy = -6.009 eV for the cell shown
Energy relative to the lowest polymorph listed for this composition = 45 meV/atom
ΔE_f = 27 meV per atom
Magnetic moment = 0.0 μB per formula unit


(9)
A relaxed structure of ZnCdAg2, computed with PBEsol.

a = 2.820 Å, b = 2.820 Å, c = 9.051 Å
α = 90.00°, β = 90.00°, γ = 109.89°
Positions (direct):
Zn: 0.000 0.000 0.000
Cd: 0.500 0.500 0.260
Ag: 0.000 0.000 0.520
Ag: 0.500 0.500 0.771

Energy = -9.277 eV for the cell shown
ΔE_f = 31 meV per atom
Magnetic moment = 0.0 μB per formula unit


(10)
A relaxed structure of Zn2CdAg, computed with PBEsol.

a = 4.509 Å, b = 4.509 Å, c = 4.509 Å
α = 60.00°, β = 60.00°, γ = 60.00°
Positions (direct):
Zn: 0.000 0.000 0.000
Zn: 0.250 0.250 0.250
Cd: 0.500 0.500 0.500
Ag: 0.750 0.750 0.750

Energy = -7.482 eV for the cell shown
ΔE_f = 48 meV per atom
Magnetic moment = 0.0 μB per formula unit


(11)
A relaxed structure of ZnCdAg, computed with PBEsol.

a = 5.685 Å, b = 5.685 Å, c = 5.685 Å
α = 148.43°, β = 148.43°, γ = 45.25°
Positions (direct):
Zn: 0.000 0.000 0.000
Cd: 0.330 0.330 0.000
Ag: 0.648 0.648 0.000

Energy = -6.145 eV for the cell shown
Energy relative to the lowest polymorph listed for this composition = 0 meV/atom
ΔE_f = -18 meV per atom
Magnetic moment = 0.0 μB per formula unit


(12)
A relaxed structure of Zn2CdAg, computed with PBEsol.

a = 9.156 Å, b = 9.156 Å, c = 9.156 Å
α = 18.26°, β = 18.26°, γ = 18.26°
Positions (direct):
Zn: 0.246 0.246 0.246
Zn: 0.754 0.754 0.754
Cd: 0.000 0.000 0.000
Ag: 0.500 0.500 0.500

Energy = -7.518 eV for the cell shown
ΔE_f = 38 meV per atom
Magnetic moment = 0.0 μB per formula unit


Q: energy of number 6 (ZnCdAg2)?
A: -9.561 eV for the cell shown